No. 1
First-principles (PBE) data for an optimized crystal structure of LaHfNO, as listed in the Open Quantum Materials Database.

Structure (CIF):
```
data_LaHfNO
_chemical_formula_sum 'La2 Hf2 N2 O2'
_symmetry_space_group_name_H-M 'P m c 21'
_symmetry_Int_Tables_number 26
_cell_length_a 4.048
_cell_length_b 5.708
_cell_length_c 5.773
_cell_angle_alpha 90.00
_cell_angle_beta 90.00
_cell_angle_gamma 90.00
loop_
_symmetry_equiv_pos_as_xyz
'x,y,z'
'-x,-y,z+1/2'
'-x,y,z'
'x,-y,z+1/2'
loop_
_atom_site_label
_atom_site_fract_x
_atom_site_fract_y
_atom_site_fract_z
La1 0.000 0.237 0.000
Hf1 0.500 0.258 0.498
N1 0.500 0.001 0.248
O1 0.000 0.324 0.496
```

Output
As for the crystal system: orthorhombic. Its total energy is -9.112 eV per atom.


No. 2
First-principles (PBE) data for an optimized crystal structure of Zr2ScSn, as listed in the Open Quantum Materials Database.

Structure (CIF):
```
data_Zr2ScSn
_chemical_formula_sum 'Zr8 Sc4 Sn4'
_symmetry_space_group_name_H-M 'F -4 3 m'
_symmetry_Int_Tables_number 216
_symmetry_space_group_name_Hall 'F -4 2 3'
_cell_length_a 7.076
_cell_length_b 7.076
_cell_length_c 7.076
_cell_angle_alpha 90.00
_cell_angle_beta 90.00
_cell_angle_gamma 90.00
loop_
_atom_site_label
_atom_site_fract_x
_atom_site_fract_y
_atom_site_fract_z
Zr1 0.000 0.000 0.000
Zr2 0.250 0.250 0.250
Sc1 0.250 0.250 0.750
Sn1 0.000 0.000 0.500
```

Output
As for the crystal system: cubic. Its total energy is -7.094 eV per atom.


No. 3
First-principles (PBE) data for an optimized crystal structure of ErMg3, as listed in the Open Quantum Materials Database.

Structure (CIF):
```
data_ErMg3
_chemical_formula_sum 'Er2 Mg6'
_symmetry_space_group_name_H-M 'P 63/m m c'
_symmetry_Int_Tables_number 194
_symmetry_space_group_name_Hall '-P 6c 2c'
_cell_length_a 6.6450
_cell_length_b 6.6450
_cell_length_c 5.1720
_cell_angle_alpha 90.00
_cell_angle_beta 90.00
_cell_angle_gamma 120.00
loop_
_atom_site_label
_atom_site_fract_x
_atom_site_fract_y
_atom_site_fract_z
Er1 0.3333 0.6667 0.2500
Mg1 0.1638 0.3275 0.7500
```

Output
As for the crystal system: hexagonal. Its total energy is -2.351 eV per atom.


No. 4
First-principles (PBE) data for an optimized crystal structure of TlCdNiPd, as listed in the Open Quantum Materials Database.

Structure (CIF):
```
data_TlCdNiPd
_chemical_formula_sum 'Tl4 Cd4 Ni4 Pd4'
_symmetry_space_group_name_H-M 'F -4 3 m'
_symmetry_Int_Tables_number 216
_symmetry_space_group_name_Hall 'F -4 2 3'
_cell_length_a 6.508
_cell_length_b 6.508
_cell_length_c 6.508
_cell_angle_alpha 90.00
_cell_angle_beta 90.00
_cell_angle_gamma 90.00
loop_
_atom_site_label
_atom_site_fract_x
_atom_site_fract_y
_atom_site_fract_z
Tl1 0.000 0.000 0.000
Cd1 0.000 0.000 0.500
Ni1 0.250 0.250 0.250
Pd1 0.250 0.250 0.750
```

Output
As for the crystal system: cubic. Its total energy is -3.528 eV per atom.


No. 5
First-principles (PBE) data for an optimized crystal structure of NaPrHgSe3, as listed in the Open Quantum Materials Database.

Structure (CIF):
```
data_NaPrHgSe3
_chemical_formula_sum 'Na4 Pr4 Hg4 Se12'
_symmetry_space_group_name_H-M 'P n m a'
_symmetry_Int_Tables_number 62
_cell_length_a 8.493
_cell_length_b 4.299
_cell_length_c 17.620
_cell_angle_alpha 90.00
_cell_angle_beta 90.00
_cell_angle_gamma 90.00
loop_
_symmetry_equiv_pos_as_xyz
'x,y,z'
'-x,-y,-z'
'-x+1/2,-y,z+1/2'
'x+1/2,y,-z+1/2'
'x+1/2,-y+1/2,-z+1/2'
'-x+1/2,y+1/2,z+1/2'
'-x,y+1/2,-z'
'x,-y+1/2,z'
loop_
_atom_site_label
_atom_site_fract_x
_atom_site_fract_y
_atom_site_fract_z
Na1 0.092 0.250 0.197
Pr1 0.221 0.250 0.962
Hg1 0.044 0.250 0.666
Se1 0.012 0.250 0.425
Se2 0.125 0.750 0.067
Se3 0.213 0.250 0.789
```

Output
As for the crystal system: orthorhombic. Its total energy is -3.890 eV per atom.


No. 6
First-principles (PBE) data for an optimized crystal structure of PbAuClF2, as listed in the Open Quantum Materials Database.

Structure (CIF):
```
data_PbAuClF2
_chemical_formula_sum 'Pb4 Au4 Cl4 F8'
_symmetry_space_group_name_H-M 'C m c m'
_symmetry_Int_Tables_number 63
_symmetry_space_group_name_Hall '-C 2c 2'
_cell_length_a 5.554
_cell_length_b 11.811
_cell_length_c 5.506
_cell_angle_alpha 90.00
_cell_angle_beta 90.00
_cell_angle_gamma 90.00
loop_
_atom_site_label
_atom_site_fract_x
_atom_site_fract_y
_atom_site_fract_z
Pb1 0.000 0.113 0.250
Au1 0.000 0.358 0.250
Cl1 0.000 0.257 0.750
F1 0.247 0.000 0.000
```

Output
As for the crystal system: orthorhombic. Its total energy is -3.682 eV per atom.


No. 7
First-principles (PBE) data for an optimized crystal structure of SrGa2PdAu, as listed in the Open Quantum Materials Database.

Structure (CIF):
```
data_SrGa2PdAu
_chemical_formula_sum 'Sr2 Ga4 Pd2 Au2'
_symmetry_space_group_name_H-M 'P 4/n m m'
_symmetry_Int_Tables_number 129
_cell_length_a 4.531
_cell_length_b 4.531
_cell_length_c 10.330
_cell_angle_alpha 90.00
_cell_angle_beta 90.00
_cell_angle_gamma 90.00
loop_
_symmetry_equiv_pos_as_xyz
'x,y,z'
'-x,-y,-z'
'-y+1/2,x,z'
'y+1/2,-x,-z'
'-x+1/2,-y+1/2,z'
'x+1/2,y+1/2,-z'
'y,-x+1/2,z'
'-y,x+1/2,-z'
'x+1/2,-y,-z'
'-x+1/2,y,z'
'-y,-x,-z'
'y,x,z'
'-x,y+1/2,-z'
'x,-y+1/2,z'
'y+1/2,x+1/2,-z'
'-y+1/2,-x+1/2,z'
loop_
_atom_site_label
_atom_site_fract_x
_atom_site_fract_y
_atom_site_fract_z
Sr1 0.250 0.250 0.249
Ga1 0.250 0.250 0.634
Ga2 0.250 0.750 0.000
Pd1 0.250 0.250 0.879
Au1 0.250 0.750 0.500
```

Output
As for the crystal system: tetragonal. Its total energy is -3.891 eV per atom.


No. 8
First-principles (PBE) data for an optimized crystal structure of ScFeCoSi, as listed in the Open Quantum Materials Database.

Structure (CIF):
```
data_ScFeCoSi
_chemical_formula_sum 'Sc4 Fe4 Co4 Si4'
_symmetry_space_group_name_H-M 'F -4 3 m'
_symmetry_Int_Tables_number 216
_symmetry_space_group_name_Hall 'F -4 2 3'
_cell_length_a 6.014
_cell_length_b 6.014
_cell_length_c 6.014
_cell_angle_alpha 90.00
_cell_angle_beta 90.00
_cell_angle_gamma 90.00
loop_
_atom_site_label
_atom_site_fract_x
_atom_site_fract_y
_atom_site_fract_z
Sc1 0.000 0.000 0.000
Fe1 0.250 0.250 0.250
Co1 0.000 0.000 0.500
Si1 0.250 0.250 0.750
```

Output
As for the crystal system: cubic. Its total energy is -6.994 eV per atom.


No. 9
First-principles (PBE) data for an optimized crystal structure of Nb4B3Au, as listed in the Open Quantum Materials Database.

Structure (CIF):
```
data_Nb4B3Au
_chemical_formula_sum 'Nb8 B6 Au2'
_symmetry_space_group_name_H-M 'P 63/m m c'
_symmetry_Int_Tables_number 194
_symmetry_space_group_name_Hall '-P 6c 2c'
_cell_length_a 3.2764
_cell_length_b 3.2764
_cell_length_c 24.2588
_cell_angle_alpha 90.00
_cell_angle_beta 90.00
_cell_angle_gamma 120.00
loop_
_atom_site_label
_atom_site_fract_x
_atom_site_fract_y
_atom_site_fract_z
Nb1 0.0000 0.0000 0.1597
Nb2 0.3333 0.6667 0.0535
B1 0.0000 0.0000 0.0000
B2 0.3333 0.6667 0.6105
Au1 0.3333 0.6667 0.2500
```

Output
As for the crystal system: hexagonal. Its total energy is -8.405 eV per atom.


No. 10
First-principles (PBE) data for an optimized crystal structure of Pr3Zn3Ni2Pt, as listed in the Open Quantum Materials Database.

Structure (CIF):
```
data_Pr3Zn3Ni2Pt
_chemical_formula_sum 'Pr3 Zn3 Ni2 Pt1'
_symmetry_space_group_name_H-M 'P -6 2 m'
_symmetry_Int_Tables_number 189
_symmetry_space_group_name_Hall 'P -6 -2'
_cell_length_a 7.2661
_cell_length_b 7.2661
_cell_length_c 3.9460
_cell_angle_alpha 90.00
_cell_angle_beta 90.00
_cell_angle_gamma 120.00
loop_
_atom_site_label
_atom_site_fract_x
_atom_site_fract_y
_atom_site_fract_z
Pr1 0.0000 0.4181 0.0000
Zn1 0.0000 0.7555 0.5000
Ni1 0.3333 0.6667 0.5000
Pt1 0.0000 0.0000 0.0000
```

Output
As for the crystal system: hexagonal. Its total energy is -4.440 eV per atom.


No. 11
First-principles (PBE) data for an optimized crystal structure of NbHgOs, as listed in the Open Quantum Materials Database.

Structure (CIF):
```
data_NbHgOs
_chemical_formula_sum 'Nb4 Hg4 Os4'
_symmetry_space_group_name_H-M 'F -4 3 m'
_symmetry_Int_Tables_number 216
_symmetry_space_group_name_Hall 'F -4 2 3'
_cell_length_a 6.296
_cell_length_b 6.296
_cell_length_c 6.296
_cell_angle_alpha 90.00
_cell_angle_beta 90.00
_cell_angle_gamma 90.00
loop_
_atom_site_label
_atom_site_fract_x
_atom_site_fract_y
_atom_site_fract_z
Nb1 0.000 0.000 0.000
Hg1 0.250 0.250 0.250
Os1 0.250 0.250 0.750
```

Output
As for the crystal system: cubic. Its total energy is -6.380 eV per atom.


No. 12
First-principles (PBE) data for an optimized crystal structure of LaHfMgCo, as listed in the Open Quantum Materials Database.

Structure (CIF):
```
data_LaHfMgCo
_chemical_formula_sum 'La4 Hf4 Mg4 Co4'
_symmetry_space_group_name_H-M 'F -4 3 m'
_symmetry_Int_Tables_number 216
_symmetry_space_group_name_Hall 'F -4 2 3'
_cell_length_a 6.976
_cell_length_b 6.976
_cell_length_c 6.976
_cell_angle_alpha 90.00
_cell_angle_beta 90.00
_cell_angle_gamma 90.00
loop_
_atom_site_label
_atom_site_fract_x
_atom_site_fract_y
_atom_site_fract_z
La1 0.000 0.000 0.000
Hf1 0.000 0.000 0.500
Mg1 0.250 0.250 0.750
Co1 0.250 0.250 0.250
```

Output
As for the crystal system: cubic. Its total energy is -5.663 eV per atom.